[1]
## TaBe2Os (PBEsol)

Data for a geometry-optimized TaBe2Os structure.

Cell: 3.1463 3.8980 4.1190 Å, 90.00 90.00 90.00°
Element x y z (fractional)
Ta (0.0000, 0.0000, 0.0000)
Be (0.0000, 0.5000, 0.5000)
Be (0.5000, 0.5000, 0.0000)
Os (0.5000, 0.0000, 0.5000)

Calculated values
The calculated formation energy is -0.006 eV/atom. The energy comes out at -32.79 eV per cell. As for the calculated volume: 50.5 Å³/f.u. As for the size of the total moment: 0.0 μB per cell. For the relative energy among the computed polymorphs, the calculation gives 272 meV/atom.



[2]
## Tm2B6Rh9 (PBEsol)

Data for a geometry-optimized Tm2B6Rh9 structure.

Cell: 5.5107 5.5107 8.4765 Å, 90.00 90.00 120.00°
Element x y z (fractional)
Tm (0.0000, 0.0000, 0.2045)
Tm (0.0000, 0.0000, 0.7955)
B (0.3333, 0.6667, 0.1676)
B (0.3333, 0.6667, 0.5000)
B (0.3333, 0.6667, 0.8324)
B (0.6667, 0.3333, 0.1676)
B (0.6667, 0.3333, 0.5000)
B (0.6667, 0.3333, 0.8324)
Rh (0.0000, 0.5000, 0.0000)
Rh (0.0000, 0.5000, 0.3355)
Rh (0.0000, 0.5000, 0.6645)
Rh (0.5000, 0.0000, 0.0000)
Rh (0.5000, 0.0000, 0.3355)
Rh (0.5000, 0.0000, 0.6645)
Rh (0.5000, 0.5000, 0.0000)
Rh (0.5000, 0.5000, 0.3355)
Rh (0.5000, 0.5000, 0.6645)

Calculated values
The calculated formation energy is -0.659 eV/atom. The energy comes out at -136.35 eV per cell. As for the calculated volume: 222.9 Å³/f.u. As for the size of the total moment: 0.0 μB per cell.



[3]
## SiTe2W (PBEsol)

Data for a geometry-optimized SiTe2W structure.

Cell: 3.2878 3.2878 27.7406 Å, 90.00 90.00 120.00°
Element x y z (fractional)
Si (0.0000, 0.0000, 0.0000)
Si (0.3333, 0.6667, 0.6667)
Si (0.6667, 0.3333, 0.3333)
Te (0.0000, 0.0000, 0.2585)
Te (0.0000, 0.0000, 0.4655)
Te (0.3333, 0.6667, 0.1321)
Te (0.3333, 0.6667, 0.9251)
Te (0.6667, 0.3333, 0.5918)
Te (0.6667, 0.3333, 0.7988)
W (0.0000, 0.0000, 0.7299)
W (0.3333, 0.6667, 0.3966)
W (0.6667, 0.3333, 0.0633)

Calculated values
The energy comes out at -77.53 eV per cell. As for the calculated volume: 86.6 Å³/f.u. As for the size of the total moment: 0.0 μB per cell. For the formation energy (no corrections), the calculation gives 0.191 eV per atom.



[4]
## KAgP2O6 (PBEsol)

Data for a geometry-optimized KAgP2O6 structure.

Cell: 6.0015 13.0870 7.4991 Å, 90.00 95.01 90.00°
Element x y z (fractional)
K (0.2030, 0.1717, 0.2707)
K (0.2030, 0.3283, 0.7707)
K (0.7970, 0.6717, 0.2293)
K (0.7970, 0.8283, 0.7293)
Ag (0.3127, 0.0271, 0.6941)
Ag (0.3127, 0.4729, 0.1941)
Ag (0.6873, 0.5271, 0.8059)
Ag (0.6873, 0.9729, 0.3059)
P (0.1884, 0.6296, 0.8516)
P (0.1884, 0.8704, 0.3516)
P (0.3499, 0.6721, 0.4941)
P (0.3499, 0.8279, 0.9941)
P (0.6501, 0.1721, 0.0059)
P (0.6501, 0.3279, 0.5059)
P (0.8116, 0.1296, 0.6484)
P (0.8116, 0.3704, 0.1484)
O (0.0407, 0.1495, 0.5906)
O (0.0407, 0.3505, 0.0906)
O (0.1770, 0.6693, 0.6472)
O (0.1770, 0.8307, 0.1472)
O (0.2341, 0.6227, 0.3313)
O (0.2341, 0.8773, 0.8313)
O (0.2914, 0.5250, 0.8668)
O (0.2914, 0.9750, 0.3668)
O (0.3675, 0.7057, 0.9569)
O (0.3675, 0.7943, 0.4569)
O (0.4178, 0.1429, 0.9356)
O (0.4178, 0.3571, 0.4356)
O (0.5822, 0.6429, 0.5644)
O (0.5822, 0.8571, 0.0644)
O (0.6325, 0.2057, 0.5431)
O (0.6325, 0.2943, 0.0431)
O (0.7086, 0.0250, 0.6332)
O (0.7086, 0.4750, 0.1332)
O (0.7659, 0.1227, 0.1687)
O (0.7659, 0.3773, 0.6687)
O (0.8230, 0.1693, 0.8528)
O (0.8230, 0.3307, 0.3528)
O (0.9593, 0.6495, 0.9094)
O (0.9593, 0.8505, 0.4094)

Calculated values
The energy comes out at -266.32 eV per cell. As for the calculated volume: 146.7 Å³/f.u. As for the size of the total moment: 0.0 μB per cell. For the formation energy (no corrections), the calculation gives -1.906 eV per atom.



[5]
## Sc2CoAu (PBEsol)

Data for a geometry-optimized Sc2CoAu structure.

Cell: 3.1374 3.1374 25.8704 Å, 90.00 90.00 120.00°
Element x y z (fractional)
Sc (0.0000, 0.0000, 0.0000)
Sc (0.0000, 0.0000, 0.2244)
Sc (0.3333, 0.6667, 0.6667)
Sc (0.3333, 0.6667, 0.8911)
Sc (0.6667, 0.3333, 0.3333)
Sc (0.6667, 0.3333, 0.5578)
Co (0.0000, 0.0000, 0.4906)
Co (0.3333, 0.6667, 0.1573)
Co (0.6667, 0.3333, 0.8239)
Au (0.0000, 0.0000, 0.7484)
Au (0.3333, 0.6667, 0.4151)
Au (0.6667, 0.3333, 0.0818)

Calculated values
The calculated formation energy is 0.057 eV/atom. The energy comes out at -73.94 eV per cell. As for the calculated volume: 73.5 Å³/f.u. As for the size of the total moment: 3.6 μB per cell.



[6]
## Zn2InRe (PBEsol)

Data for a geometry-optimized Zn2InRe structure.

Cell: 2.7819 2.7819 8.3310 Å, 90.00 90.00 90.00°
Element x y z (fractional)
Zn (0.0000, 0.0000, 0.0000)
Zn (0.5000, 0.5000, 0.2239)
In (0.5000, 0.5000, 0.7131)
Re (0.0000, 0.0000, 0.4489)

Calculated values
The calculated formation energy is 0.423 eV/atom. The energy comes out at -17.79 eV per cell. As for the calculated volume: 64.5 Å³/f.u. As for the size of the total moment: 0.0 μB per cell.



Mass density list, top to bottom, in g/cm3: 12.79; 9.90; 8.96; 3.45; 7.81; 11.12